Record 1
! GePt2W2 PBE-GGA optimized geometry; values from VASP
&SYSTEM
  ibrav = 0, nat = 10, ntyp = 3
/
ATOMIC_SPECIES
Ge 72.64 Ge.upf
Pt 195.08 Pt.upf
W 183.84 W.upf
CELL_PARAMETERS angstrom
6.568 0.000 0.000
0.000 6.568 0.000
0.000 0.000 3.996
ATOMIC_POSITIONS crystal
Ge 0.000 0.000 0.000
Ge 0.500 0.500 0.000
Pt 0.147 0.353 0.500
Pt 0.353 0.853 0.500
Pt 0.647 0.147 0.500
Pt 0.853 0.647 0.500
W 0.138 0.638 0.000
W 0.362 0.138 0.000
W 0.638 0.862 0.000
W 0.862 0.362 0.000
! Polymorph energy (0 for the lowest one), eV per atom: 0.000
! Symmetry: P4/mbm (127)
! Total magnetization, μB/cell: 0.00
! N(E_F), states/eV per cell: 7.82

***

Record 2
! CuIrPt PBE-GGA optimized geometry; values from VASP
&SYSTEM
  ibrav = 0, nat = 6, ntyp = 3
/
ATOMIC_SPECIES
Cu 63.55 Cu.upf
Ir 192.22 Ir.upf
Pt 195.08 Pt.upf
CELL_PARAMETERS angstrom
4.382 0.000 0.000
-2.191 3.795 0.000
0.000 0.000 5.369
ATOMIC_POSITIONS crystal
Cu 0.000 0.000 0.243
Cu 0.000 0.000 0.757
Ir 0.333 0.667 0.000
Ir 0.667 0.333 0.000
Pt 0.333 0.667 0.500
Pt 0.667 0.333 0.500
! Polymorph energy (0 for the lowest one), eV per atom: 0.158
! Symmetry: P6/mmm (191)
! Total magnetization, μB/cell: 0.00
! N(E_F), states/eV per cell: 6.59

***

Record 3
! DyPu2Ru PBE-GGA optimized geometry; values from VASP
&SYSTEM
  ibrav = 0, nat = 4, ntyp = 3
/
ATOMIC_SPECIES
Dy 162.50 Dy.upf
Pu 244.00 Pu.upf
Ru 101.07 Ru.upf
CELL_PARAMETERS angstrom
3.352 0.000 0.000
0.000 3.352 0.000
0.000 0.000 8.686
ATOMIC_POSITIONS crystal
Dy 0.000 0.000 0.000
Pu 0.500 0.500 0.304
Pu 0.500 0.500 0.696
Ru 0.000 0.000 0.500
! Polymorph energy (0 for the lowest one), eV per atom: 0.000
! Symmetry: P4/mmm (123)
! Total magnetization, μB/cell: 10.79
! N(E_F), states/eV per cell: 11.46